Record 1
Material: NdNiSn2
Method: DFT, PBE
State: relaxed

a = 11.7642 Å, b = 11.7642 Å, c = 3.1218 Å
α = 90.00°, β = 90.00°, γ = 150.61°
With the nearest neighbours (Å) after each atom.
Fractional positions:
Ni 0.1765 0.8235 0.0000  2 Sn 2.48-2.54
Ni 0.8235 0.1765 0.0000  2 Sn 2.48-2.54
Sn 0.0649 0.9351 0.0000  1 Ni 2.54
Sn 0.7143 0.2857 0.0000  1 Ni 2.48
Sn 0.9351 0.0649 0.0000  1 Ni 2.54
Sn 0.2857 0.7143 0.0000  1 Ni 2.48
Nd 0.4218 0.5782 0.0000  3 Sn 3.00-3.10, 2 Nd 3.12
Nd 0.5782 0.4218 0.0000  3 Sn 3.00-3.10, 2 Nd 3.12

Output
SG: Cmmm
Uncorrected energy (eV/atom): -4.26
Size of the total moment (μB per cell): 0.24

***

Record 2
Material: NdNi5Sn
Method: DFT, PBE
State: relaxed

a = 4.9122 Å, b = 4.9122 Å, c = 19.7079 Å
α = 90.00°, β = 90.00°, γ = 120.00°
With the nearest neighbours (Å) after each atom.
Fractional positions:
Sn 0.3333 0.6667 0.0871  7 Ni 2.57-2.72
Sn 0.6667 0.3333 0.5871  7 Ni 2.57-2.72
Sn 0.3333 0.6667 0.4129  7 Ni 2.57-2.72
Sn 0.6667 0.3333 0.9129  7 Ni 2.57-2.72
Nd 0.6667 0.3333 0.7500  6 Ni 2.84
Nd 0.0000 0.0000 0.5000  12 Ni 2.96-3.21, 6 Sn 3.32
Nd 0.3333 0.6667 0.2500  6 Ni 2.84
Nd 0.0000 0.0000 0.0000  12 Ni 2.96-3.21, 6 Sn 3.32
Ni 0.6667 0.3333 0.4568  3 Ni 2.48, 1 Sn 2.57
Ni 0.1660 0.8340 0.8539  7 Ni 2.45-2.49, 2 Sn 2.72
Ni 0.1660 0.8340 0.6461  7 Ni 2.45-2.49, 2 Sn 2.72
Ni 0.8340 0.1660 0.3539  7 Ni 2.45-2.49, 2 Sn 2.72
Ni 0.8340 0.6680 0.1461  7 Ni 2.45-2.49, 2 Sn 2.72
Ni 0.1660 0.3320 0.6461  7 Ni 2.45-2.49, 2 Sn 2.72
Ni 0.3333 0.6667 0.7500  6 Ni 2.49
Ni 0.3333 0.6667 0.5432  3 Ni 2.48, 1 Sn 2.57
Ni 0.3320 0.1660 0.1461  7 Ni 2.45-2.49, 2 Sn 2.72
Ni 0.8340 0.1660 0.1461  7 Ni 2.45-2.49, 2 Sn 2.72
Ni 0.6680 0.8340 0.6461  7 Ni 2.45-2.49, 2 Sn 2.72
Ni 0.3333 0.6667 0.9568  3 Ni 2.48, 1 Sn 2.57
Ni 0.6680 0.8340 0.8539  7 Ni 2.45-2.49, 2 Sn 2.72
Ni 0.3320 0.1660 0.3539  7 Ni 2.45-2.49, 2 Sn 2.72
Ni 0.0000 0.0000 0.2500  6 Ni 2.49
Ni 0.1660 0.3320 0.8539  7 Ni 2.45-2.49, 2 Sn 2.72
Ni 0.8340 0.6680 0.3539  7 Ni 2.45-2.49, 2 Sn 2.72
Ni 0.6667 0.3333 0.0432  3 Ni 2.48, 1 Sn 2.57
Ni 0.0000 0.0000 0.7500  6 Ni 2.49
Ni 0.6667 0.3333 0.2500  6 Ni 2.49

Output
SG: P6_3/mmc
Uncorrected energy (eV/atom): -5.57
Size of the total moment (μB per cell): 0.80

***

size of the total moment of number 2 (NdNi5Sn)?
0.80 μB per cell

***

Look up the size of the total moment of the second one.
0.80 μB per cell

***

What is the formula in the second record?
NdNi5Sn

***

Which value of size of the total moment does entry 1 give?
0.24 μB per cell